No. 1
A plane-wave DFT calculation with GGA-PBE was carried out for SrAcGa2Rh2 after structural relaxation.

Cell and atoms, written as extended XYZ:
```
6
Lattice="4.345 0.000 0.000 -2.172 3.763 0.000 0.000 0.000 8.856" Properties=species:S:1:pos:R:3 pbc="T T T"
Sr 0.000 0.000 0.000
Ac 0.000 0.000 4.428
Ga 0.000 2.508 6.697
Ga 2.172 1.254 2.160
Rh 0.000 2.508 2.403
Rh 2.172 1.254 6.453
```

Summary:
- Formation enthalpy at 0 K: -0.663 eV/atom
- Space group: P-3m1, No. 164

---

No. 2
A plane-wave DFT calculation with GGA-PBE was carried out for Ac2TaGaRh4 after structural relaxation.

Cell and atoms, written as extended XYZ:
```
16
Lattice="0.000 5.821 10.369 2.928 0.000 10.369 2.928 5.821 0.000" Properties=species:S:1:pos:R:3 pbc="T T T"
Ac 2.196 4.366 1.179
Ac 3.660 7.276 6.364
Ac 2.196 4.366 14.375
Ac 3.660 7.276 19.560
Ta 2.196 4.366 7.777
Ta 3.660 7.276 12.962
Ga 0.732 1.455 2.592
Ga 5.124 10.187 18.147
Rh 2.286 2.970 4.009
Rh 2.106 5.762 4.009
Rh 3.570 5.880 9.194
Rh 2.106 2.970 11.545
Rh 3.750 8.672 9.194
Rh 2.286 5.762 11.545
Rh 3.750 5.880 16.730
Rh 3.570 8.672 16.730
```

Summary:
- Formation enthalpy at 0 K: -0.514 eV/atom
- Space group: Fddd, No. 70

---

Question: Among the records above, which one has the lowest formation enthalpy at 0 K?
Answer: SrAcGa2Rh2

---

Question: The lowest formation enthalpy at 0 K belongs to which entry?
Answer: SrAcGa2Rh2

---

Question: Number 1 is which compound?
Answer: SrAcGa2Rh2